Density functional theory data (PBE-GGA) for a relaxed Os2RuRh crystal.

Relative energy among the computed polymorphs (meV per atom): 1203
Total moment (μB/f.u.): 0.000
DFT formation energy (eV per atom): 1.2883
Density (Mg/m³): 11.50

Structure (POSCAR):
```
Os2RuRh
1.0
-3.318 1.292 4.286
-4.328 0.439 -3.482
-4.940 -4.408 1.126
Os Ru Rh
4 2 2
Direct
0.375 0.379 0.750
0.875 0.871 0.750
0.129 0.625 0.250
0.621 0.125 0.250
0.500 0.500 0.000
0.250 0.750 0.500
0.000 0.000 0.000
0.750 0.250 0.500
```